Entry 1:
The following is a DFT calculation (GGA-PBE) of Mn2AsOs after structural relaxation.

Its formation energy from the elements is 0.185 eV per atom. The value obtained for the magnetization is 0.00 μB per atom. Its density of states at the Fermi level is 2.93 states/eV/cell. Its symmetry is R-3m, No. 166. Its crystal system is trigonal.

Lattice parameters (Å, degrees): 8.1597 8.1597 8.1597 19.18 19.18 19.18
Fractional positions:
Mn (0.2475, 0.2475, 0.2475)
Mn (0.7525, 0.7525, 0.7525)
As (0.5000, 0.5000, 0.5000)
Os (0.0000, 0.0000, 0.0000)

=====

Entry 2:
The following is a DFT calculation (GGA-PBE) of Hf5Zn4Ga after structural relaxation.

Its formation energy from the elements is -0.215 eV per atom. The value obtained for the magnetization is 0.00 μB per atom. Its density of states at the Fermi level is 3.37 states/eV/cell. Its symmetry is P4/mmm, No. 123. Its crystal system is tetragonal.

Lattice parameters (Å, degrees): 3.2240 3.2240 17.4282 90.00 90.00 90.00
Fractional positions:
Hf (0.0000, 0.0000, 0.0000)
Hf (0.0000, 0.0000, 0.1968)
Hf (0.0000, 0.0000, 0.3965)
Hf (0.0000, 0.0000, 0.6035)
Hf (0.0000, 0.0000, 0.8032)
Zn (0.5000, 0.5000, 0.0978)
Zn (0.5000, 0.5000, 0.2945)
Zn (0.5000, 0.5000, 0.7055)
Zn (0.5000, 0.5000, 0.9022)
Ga (0.5000, 0.5000, 0.5000)